Entry from the Alexandria database: Tm4ZnRh2 after structural relaxation (PBE-GGA).

Cell lengths 4.799, 4.799, 6.827 Å; angles 90.00, 90.00, 90.00 degrees
Space group P4/mmm (No. 123)
Unique sites:
Tm  0.000  0.500  0.246 x4
Zn  0.000  0.000  0.500 x1
Rh  0.000  0.000  0.000 x1
Rh  0.500  0.500  0.500 x1

**Total DFT energy (no corrections)**: -38.22 eV per cell
**DOS(E_F)**: 0.8206 states/eV per atom
**Calculated formation energy**: -0.62 eV/atom